1.
Below is CoRe2OsS at its PBEsol-relaxed geometry, with properties calculated at the SCAN level.

Computed properties:
The value obtained for the energy relative to the elements, uncorrected is 1.2676 eV/atom. The value obtained for the density of states at the Fermi level is 0.54 states/eV per atom.

The structure in CIF format:
```
data_CoRe2OsS
_cell_length_a 4.264
_cell_length_b 4.264
_cell_length_c 4.238
_cell_angle_alpha 90.00
_cell_angle_beta 90.00
_cell_angle_gamma 90.00
_symmetry_space_group_name_H-M 'P 4/m m m'
_symmetry_Int_Tables_number 123
_symmetry_space_group_name_Hall '-P 4 2'
loop_
_atom_site_label
_atom_site_type_symbol
_atom_site_fract_x
_atom_site_fract_y
_atom_site_fract_z
Co1 Co 0.000 0.000 0.000
Re1 Re 0.000 0.500 0.500
Os1 Os 0.500 0.500 0.000
S1 S 0.500 0.500 0.500
```

***

2.
Below is CoOsRh at its PBEsol-relaxed geometry, with properties calculated at the SCAN level.

Computed properties:
The energy above the most stable polymorph in this dataset is 11.8 meV per atom. The value obtained for the density of states at the Fermi level is 0.89 states/eV per atom. Its formation energy is 164.6 meV per atom.

The structure in CIF format:
```
data_CoOsRh
_cell_length_a 2.6444
_cell_length_b 2.6444
_cell_length_c 6.3221
_cell_angle_alpha 90.00
_cell_angle_beta 90.00
_cell_angle_gamma 120.00
_symmetry_space_group_name_H-M 'P 3 m 1'
_symmetry_Int_Tables_number 156
_symmetry_space_group_name_Hall 'P 3 -2"'
loop_
_atom_site_label
_atom_site_type_symbol
_atom_site_fract_x
_atom_site_fract_y
_atom_site_fract_z
Co1 Co 0.0000 0.0000 0.0000
Os1 Os 0.3333 0.6667 0.6815
Rh1 Rh 0.6667 0.3333 0.3313
```

***

3.
Below is CoOsRh at its PBEsol-relaxed geometry, with properties calculated at the SCAN level.

Computed properties:
The energy above the most stable polymorph in this dataset is 533.7 meV per atom. The value obtained for the density of states at the Fermi level is 1.01 states/eV per atom. Its formation energy is 686.4 meV per atom.

The structure in CIF format:
```
data_CoOsRh
_cell_length_a 5.539
_cell_length_b 5.539
_cell_length_c 5.539
_cell_angle_alpha 90.00
_cell_angle_beta 90.00
_cell_angle_gamma 90.00
_symmetry_space_group_name_H-M 'F -4 3 m'
_symmetry_Int_Tables_number 216
_symmetry_space_group_name_Hall 'F -4 2 3'
loop_
_atom_site_label
_atom_site_type_symbol
_atom_site_fract_x
_atom_site_fract_y
_atom_site_fract_z
Co1 Co 0.000 0.000 0.000
Os1 Os 0.250 0.250 0.250
Rh1 Rh 0.250 0.250 0.750
```

***

4.
Below is CoOsRh at its PBEsol-relaxed geometry, with properties calculated at the SCAN level.

Computed properties:
The energy above the most stable polymorph in this dataset is 0.0 meV per atom. The value obtained for the density of states at the Fermi level is 0.99 states/eV per atom. Its formation energy is 152.8 meV per atom.

The structure in CIF format:
```
data_CoOsRh
_cell_length_a 2.629
_cell_length_b 3.650
_cell_length_c 7.808
_cell_angle_alpha 90.00
_cell_angle_beta 90.00
_cell_angle_gamma 90.00
_symmetry_space_group_name_H-M 'I m m 2'
_symmetry_Int_Tables_number 44
_symmetry_space_group_name_Hall 'I 2 -2'
loop_
_atom_site_label
_atom_site_type_symbol
_atom_site_fract_x
_atom_site_fract_y
_atom_site_fract_z
Co1 Co 0.000 0.000 0.000
Os1 Os 0.000 0.000 0.656
Rh1 Rh 0.000 0.000 0.329
```

***

5.
Below is CoOs2Rh at its PBEsol-relaxed geometry, with properties calculated at the SCAN level.

Computed properties:
The energy above the most stable polymorph in this dataset is 0.0 meV per atom. The value obtained for the density of states at the Fermi level is 0.84 states/eV per atom. Its formation energy is 201.4 meV per atom.

The structure in CIF format:
```
data_CoOs2Rh
_cell_length_a 2.633
_cell_length_b 2.633
_cell_length_c 7.428
_cell_angle_alpha 90.00
_cell_angle_beta 90.00
_cell_angle_gamma 90.00
_symmetry_space_group_name_H-M 'P 4/m m m'
_symmetry_Int_Tables_number 123
_symmetry_space_group_name_Hall '-P 4 2'
loop_
_atom_site_label
_atom_site_type_symbol
_atom_site_fract_x
_atom_site_fract_y
_atom_site_fract_z
Co1 Co 0.000 0.000 0.000
Os1 Os 0.500 0.500 0.237
Rh1 Rh 0.000 0.000 0.500
```

***

6.
Below is CoOs2Rh at its PBEsol-relaxed geometry, with properties calculated at the SCAN level.

Computed properties:
The energy above the most stable polymorph in this dataset is 240.4 meV per atom. The value obtained for the density of states at the Fermi level is 0.96 states/eV per atom. Its formation energy is 441.9 meV per atom.

The structure in CIF format:
```
data_CoOs2Rh
_cell_length_a 2.708
_cell_length_b 4.516
_cell_length_c 8.829
_cell_angle_alpha 90.00
_cell_angle_beta 90.00
_cell_angle_gamma 90.00
_symmetry_space_group_name_H-M 'C m m 2'
_symmetry_Int_Tables_number 35
_symmetry_space_group_name_Hall 'C 2 -2'
loop_
_atom_site_label
_atom_site_type_symbol
_atom_site_fract_x
_atom_site_fract_y
_atom_site_fract_z
Co1 Co 0.000 0.000 0.000
Os1 Os 0.000 0.000 0.500
Os2 Os 0.000 0.500 0.760
Rh1 Rh 0.000 0.500 0.240
```

***

7.
Below is CoOsRu2 at its PBEsol-relaxed geometry, with properties calculated at the SCAN level.

Computed properties:
The energy above the most stable polymorph in this dataset is 0.0 meV per atom. The value obtained for the density of states at the Fermi level is 0.92 states/eV per atom. Its formation energy is 241.8 meV per atom.

The structure in CIF format:
```
data_CoOsRu2
_cell_length_a 8.659
_cell_length_b 2.633
_cell_length_c 4.543
_cell_angle_alpha 90.00
_cell_angle_beta 99.96
_cell_angle_gamma 90.00
_symmetry_space_group_name_H-M 'C 1 m 1'
_symmetry_Int_Tables_number 8
_symmetry_space_group_name_Hall 'C -2y'
loop_
_atom_site_label
_atom_site_type_symbol
_atom_site_fract_x
_atom_site_fract_y
_atom_site_fract_z
Co1 Co 0.000 0.000 0.000
Os1 Os 0.252 0.000 0.759
Ru1 Ru 0.001 0.500 0.501
Ru2 Ru 0.250 0.500 0.245
```

***

8.
Below is CoOsRu2 at its PBEsol-relaxed geometry, with properties calculated at the SCAN level.

Computed properties:
The energy above the most stable polymorph in this dataset is 189.7 meV per atom. The value obtained for the density of states at the Fermi level is 0.95 states/eV per atom. Its formation energy is 431.5 meV per atom.

The structure in CIF format:
```
data_CoOsRu2
_cell_length_a 5.948
_cell_length_b 5.948
_cell_length_c 5.948
_cell_angle_alpha 90.00
_cell_angle_beta 90.00
_cell_angle_gamma 90.00
_symmetry_space_group_name_H-M 'F m -3 m'
_symmetry_Int_Tables_number 225
_symmetry_space_group_name_Hall '-F 4 2 3'
loop_
_atom_site_label
_atom_site_type_symbol
_atom_site_fract_x
_atom_site_fract_y
_atom_site_fract_z
Co1 Co 0.000 0.000 0.000
Os1 Os 0.000 0.000 0.500
Ru1 Ru 0.250 0.250 0.250
```

***

9.
Below is Co4OsRu at its PBEsol-relaxed geometry, with properties calculated at the SCAN level.

Computed properties:
The value obtained for the density of states at the Fermi level is 1.11 states/eV per atom. Its formation energy is 244.3 meV per atom.

The structure in CIF format:
```
data_Co4OsRu
_cell_length_a 6.422
_cell_length_b 6.422
_cell_length_c 6.422
_cell_angle_alpha 90.00
_cell_angle_beta 90.00
_cell_angle_gamma 90.00
_symmetry_space_group_name_H-M 'F -4 3 m'
_symmetry_Int_Tables_number 216
_symmetry_space_group_name_Hall 'F -4 2 3'
loop_
_atom_site_label
_atom_site_type_symbol
_atom_site_fract_x
_atom_site_fract_y
_atom_site_fract_z
Co1 Co 0.125 0.125 0.125
Os1 Os 0.250 0.250 0.750
Ru1 Ru 0.000 0.000 0.500
```

***

10.
Below is Co2OsRu at its PBEsol-relaxed geometry, with properties calculated at the SCAN level.

Computed properties:
The value obtained for the density of states at the Fermi level is 0.94 states/eV per atom. Its formation energy is 278.5 meV per atom.

The structure in CIF format:
```
data_Co2OsRu
_cell_length_a 3.638
_cell_length_b 3.638
_cell_length_c 3.584
_cell_angle_alpha 90.00
_cell_angle_beta 90.00
_cell_angle_gamma 90.00
_symmetry_space_group_name_H-M 'P 4/m m m'
_symmetry_Int_Tables_number 123
_symmetry_space_group_name_Hall '-P 4 2'
loop_
_atom_site_label
_atom_site_type_symbol
_atom_site_fract_x
_atom_site_fract_y
_atom_site_fract_z
Co1 Co 0.000 0.500 0.000
Os1 Os 0.000 0.000 0.500
Ru1 Ru 0.500 0.500 0.500
```

***

11.
Below is Co3OsS at its PBEsol-relaxed geometry, with properties calculated at the SCAN level.

Computed properties:
The value obtained for the energy relative to the elements, uncorrected is 0.8301 eV/atom. The value obtained for the density of states at the Fermi level is 1.10 states/eV per atom.

The structure in CIF format:
```
data_Co3OsS
_cell_length_a 3.994
_cell_length_b 3.994
_cell_length_c 3.994
_cell_angle_alpha 90.00
_cell_angle_beta 90.00
_cell_angle_gamma 90.00
_symmetry_space_group_name_H-M 'P m -3 m'
_symmetry_Int_Tables_number 221
_symmetry_space_group_name_Hall '-P 4 2 3'
loop_
_atom_site_label
_atom_site_type_symbol
_atom_site_fract_x
_atom_site_fract_y
_atom_site_fract_z
Co1 Co 0.000 0.000 0.500
Os1 Os 0.500 0.500 0.500
S1 S 0.000 0.000 0.000
```

***

12.
Below is CoSb2Os at its PBEsol-relaxed geometry, with properties calculated at the SCAN level.

Computed properties:
The value obtained for the energy relative to the elements, uncorrected is 0.4891 eV/atom. The energy above the most stable polymorph in this dataset is 63.2 meV per atom. The value obtained for the density of states at the Fermi level is 0.61 states/eV per atom.

The structure in CIF format:
```
data_CoSb2Os
_cell_length_a 3.1485
_cell_length_b 3.1485
_cell_length_c 23.4548
_cell_angle_alpha 90.00
_cell_angle_beta 90.00
_cell_angle_gamma 120.00
_symmetry_space_group_name_H-M 'R -3 m'
_symmetry_Int_Tables_number 166
_symmetry_space_group_name_Hall '-R 3 2"'
loop_
_atom_site_label
_atom_site_type_symbol
_atom_site_fract_x
_atom_site_fract_y
_atom_site_fract_z
Co1 Co 0.0000 0.0000 0.0000
Sb1 Sb 0.0000 0.0000 0.2542
Os1 Os 0.0000 0.0000 0.5000
```

***

Number 1: electronic total energy -46.934 eV/atom. Number 2: electronic total energy -40.821 eV/atom. Number 3: electronic total energy -40.299 eV/atom. Number 4: electronic total energy -40.832 eV/atom. Number 5: electronic total energy -48.507 eV/atom. Number 6: electronic total energy -48.267 eV/atom. Number 7: electronic total energy -39.467 eV/atom. Number 8: electronic total energy -39.278 eV/atom. Number 9: electronic total energy -29.076 eV/atom. Number 10: electronic total energy -35.050 eV/atom. Number 11: electronic total energy -25.854 eV/atom. Number 12: electronic total energy -40.437 eV/atom.